VASP calculation (PBE) on crystalline BaLi2Co at its relaxed geometry.

Calculated values
Electronic total energy (eV/atom): -2.667
Magnetization (μB/f.u.): 0.004

a b c (Å): 6.9913 6.9913 6.9913
angles (deg): 90.00 90.00 90.00
Positions (direct):
Ba (0.0000, 0.0000, 0.0000)
Ba (0.0000, 0.5000, 0.5000)
Ba (0.5000, 0.0000, 0.5000)
Ba (0.5000, 0.5000, 0.0000)
Li (0.0000, 0.0000, 0.5000)
Li (0.0000, 0.5000, 0.0000)
Li (0.2500, 0.2500, 0.7500)
Li (0.2500, 0.7500, 0.2500)
Li (0.5000, 0.0000, 0.0000)
Li (0.5000, 0.5000, 0.5000)
Li (0.7500, 0.2500, 0.2500)
Li (0.7500, 0.7500, 0.7500)
Co (0.2500, 0.2500, 0.2500)
Co (0.2500, 0.7500, 0.7500)
Co (0.7500, 0.2500, 0.7500)
Co (0.7500, 0.7500, 0.2500)



VASP calculation (PBE) on crystalline CsAgTeS3 at its relaxed geometry.

Calculated values
Electronic total energy (eV/atom): -3.532

a b c (Å): 8.8990 4.0894 10.1423
angles (deg): 90.00 111.85 90.00
Positions (direct):
Cs (0.2380, 0.2500, 0.2812)
Cs (0.7620, 0.7500, 0.7188)
Ag (0.0747, 0.2500, 0.5990)
Ag (0.9253, 0.7500, 0.4010)
Te (0.3257, 0.7500, 0.8492)
Te (0.6743, 0.2500, 0.1508)
S (0.1303, 0.2500, 0.8697)
S (0.2461, 0.7500, 0.5712)
S (0.4673, 0.7500, 0.1399)
S (0.5327, 0.2500, 0.8601)
S (0.7539, 0.2500, 0.4288)
S (0.8697, 0.7500, 0.1303)



VASP calculation (PBE) on crystalline Li4Bi2PtAu at its relaxed geometry.

Calculated values
Electronic total energy (eV/atom): -3.628
Magnetization (μB/f.u.): 0.008

a b c (Å): 4.6910 4.6910 6.6322
angles (deg): 90.00 90.00 90.00
Positions (direct):
Li (0.0000, 0.0000, 0.0000)
Li (0.0000, 0.5000, 0.2441)
Li (0.5000, 0.0000, 0.7559)
Li (0.5000, 0.5000, 0.5000)
Bi (0.0000, 0.5000, 0.7618)
Bi (0.5000, 0.0000, 0.2382)
Pt (0.5000, 0.5000, 0.0000)
Au (0.0000, 0.0000, 0.5000)



VASP calculation (PBE) on crystalline LiHfCuPb at its relaxed geometry.

Calculated values
Electronic total energy (eV/atom): -4.674
Magnetization (μB/f.u.): 0.002

a b c (Å): 6.5994 6.5994 6.5994
angles (deg): 90.00 90.00 90.00
Positions (direct):
Li (0.0000, 0.0000, 0.0000)
Li (0.0000, 0.5000, 0.5000)
Li (0.5000, 0.0000, 0.5000)
Li (0.5000, 0.5000, 0.0000)
Hf (0.2500, 0.2500, 0.7500)
Hf (0.2500, 0.7500, 0.2500)
Hf (0.7500, 0.2500, 0.2500)
Hf (0.7500, 0.7500, 0.7500)
Cu (0.0000, 0.0000, 0.5000)
Cu (0.0000, 0.5000, 0.0000)
Cu (0.5000, 0.0000, 0.0000)
Cu (0.5000, 0.5000, 0.5000)
Pb (0.2500, 0.2500, 0.2500)
Pb (0.2500, 0.7500, 0.7500)
Pb (0.7500, 0.2500, 0.7500)
Pb (0.7500, 0.7500, 0.2500)



VASP calculation (PBE) on crystalline Th3C2N at its relaxed geometry.

Calculated values
Electronic total energy (eV/atom): -8.895
Magnetization (μB/f.u.): 0.002

a b c (Å): 3.7577 5.2906 11.2341
angles (deg): 90.00 90.00 90.00
Positions (direct):
Th (0.0000, 0.0000, 0.0000)
Th (0.0000, 0.0000, 0.3345)
Th (0.0000, 0.0000, 0.6655)
Th (0.5000, 0.5000, 0.1655)
Th (0.5000, 0.5000, 0.5000)
Th (0.5000, 0.5000, 0.8345)
C (0.0000, 0.5000, 0.3322)
C (0.0000, 0.5000, 0.6678)
C (0.5000, 0.0000, 0.1678)
C (0.5000, 0.0000, 0.8322)
N (0.0000, 0.5000, 0.0000)
N (0.5000, 0.0000, 0.5000)



VASP calculation (PBE) on crystalline HfTl2GaBr6 at its relaxed geometry.

Calculated values
Electronic total energy (eV/atom): -3.676
Magnetization (μB/f.u.): 1.003

a b c (Å): 7.9557 7.9557 7.9557
angles (deg): 121.65 121.65 87.17
Positions (direct):
Hf (0.0000, 0.0000, 0.0000)
Tl (0.2500, 0.7500, 0.5000)
Tl (0.7500, 0.2500, 0.5000)
Ga (0.5000, 0.5000, 0.0000)
Br (0.1552, 0.3063, 0.4615)
Br (0.2319, 0.2319, 0.0000)
Br (0.3063, 0.8448, 0.1511)
Br (0.6937, 0.1552, 0.8489)
Br (0.7681, 0.7681, 0.0000)
Br (0.8448, 0.6937, 0.5385)



VASP calculation (PBE) on crystalline CdHgGeSe3 at its relaxed geometry.

Calculated values
Electronic total energy (eV/atom): -2.907

a b c (Å): 7.7285 7.7285 10.7450
angles (deg): 90.00 90.00 149.84
Positions (direct):
Cd (0.0000, 0.0000, 0.0000)
Cd (0.0000, 0.0000, 0.5000)
Hg (0.3382, 0.6618, 0.7500)
Hg (0.6618, 0.3382, 0.2500)
Ge (0.3261, 0.6739, 0.2500)
Ge (0.6739, 0.3261, 0.7500)
Se (0.0646, 0.9354, 0.7500)
Se (0.3701, 0.6299, 0.5185)
Se (0.3701, 0.6299, 0.9815)
Se (0.6299, 0.3701, 0.0185)
Se (0.6299, 0.3701, 0.4815)
Se (0.9354, 0.0646, 0.2500)



VASP calculation (PBE) on crystalline Co9Hg2 at its relaxed geometry.

Calculated values
Energy of formation from the pure elements (eV per atom): 0.33
Magnetization (μB/f.u.): 15.050

a b c (Å): 2.6142 2.6142 34.0628
angles (deg): 90.00 90.00 120.00
Positions (direct):
Co (0.0000, 0.0000, 0.0000)
Co (0.0000, 0.0000, 0.1703)
Co (0.0000, 0.0000, 0.8297)
Co (0.3333, 0.6667, 0.1119)
Co (0.3333, 0.6667, 0.7746)
Co (0.3333, 0.6667, 0.9440)
Co (0.6667, 0.3333, 0.0560)
Co (0.6667, 0.3333, 0.2254)
Co (0.6667, 0.3333, 0.8881)
Hg (0.3333, 0.6667, 0.3019)
Hg (0.6667, 0.3333, 0.6981)



VASP calculation (PBE) on crystalline TcW at its relaxed geometry.

Calculated values
Energy of formation from the pure elements (eV per atom): 1.89
Magnetization (μB/f.u.): 0.001

a b c (Å): 5.6781 5.6781 5.6781
angles (deg): 90.00 90.00 90.00
Positions (direct):
Tc (0.0000, 0.0000, 0.0000)
Tc (0.0000, 0.5000, 0.5000)
Tc (0.5000, 0.0000, 0.5000)
Tc (0.5000, 0.5000, 0.0000)
W (0.2500, 0.2500, 0.7500)
W (0.2500, 0.7500, 0.2500)
W (0.7500, 0.2500, 0.2500)
W (0.7500, 0.7500, 0.7500)



VASP calculation (PBE) on crystalline TcBiTe at its relaxed geometry.

Calculated values
Electronic total energy (eV/atom): -5.562
Magnetization (μB/f.u.): 0.005

a b c (Å): 6.6350 6.6350 6.6350
angles (deg): 90.00 90.00 90.00
Positions (direct):
Tc (0.0000, 0.0000, 0.0000)
Tc (0.0000, 0.5000, 0.5000)
Tc (0.5000, 0.0000, 0.5000)
Tc (0.5000, 0.5000, 0.0000)
Bi (0.2500, 0.2500, 0.7500)
Bi (0.2500, 0.7500, 0.2500)
Bi (0.7500, 0.2500, 0.2500)
Bi (0.7500, 0.7500, 0.7500)
Te (0.2500, 0.2500, 0.2500)
Te (0.2500, 0.7500, 0.7500)
Te (0.7500, 0.2500, 0.7500)
Te (0.7500, 0.7500, 0.2500)



VASP calculation (PBE) on crystalline TmLuAsO at its relaxed geometry.

Calculated values
Electronic total energy (eV/atom): -6.516
Magnetization (μB/f.u.): 0.006

a b c (Å): 4.2754 4.2754 8.5324
angles (deg): 90.00 90.00 90.00
Positions (direct):
Tm (0.2500, 0.7500, 0.0000)
Tm (0.7500, 0.2500, 0.0000)
Lu (0.2500, 0.2500, 0.4048)
Lu (0.7500, 0.7500, 0.5952)
As (0.2500, 0.2500, 0.7921)
As (0.7500, 0.7500, 0.2079)
O (0.2500, 0.7500, 0.5000)
O (0.7500, 0.2500, 0.5000)



VASP calculation (PBE) on crystalline LiAgPdW at its relaxed geometry.

Calculated values
Electronic total energy (eV/atom): -5.337
Magnetization (μB/f.u.): 0.000

a b c (Å): 6.2089 6.2089 6.2089
angles (deg): 90.00 90.00 90.00
Positions (direct):
Li (0.0000, 0.0000, 0.0000)
Li (0.0000, 0.5000, 0.5000)
Li (0.5000, 0.0000, 0.5000)
Li (0.5000, 0.5000, 0.0000)
Ag (0.2500, 0.2500, 0.2500)
Ag (0.2500, 0.7500, 0.7500)
Ag (0.7500, 0.2500, 0.7500)
Ag (0.7500, 0.7500, 0.2500)
Pd (0.0000, 0.0000, 0.5000)
Pd (0.0000, 0.5000, 0.0000)
Pd (0.5000, 0.0000, 0.0000)
Pd (0.5000, 0.5000, 0.5000)
W (0.2500, 0.2500, 0.7500)
W (0.2500, 0.7500, 0.2500)
W (0.7500, 0.2500, 0.2500)
W (0.7500, 0.7500, 0.7500)



Number 1: calculated volume 342 Å³ per cell. Number 2: calculated volume 343 Å³ per cell. Number 3: calculated volume 146 Å³ per cell. Number 4: calculated volume 287 Å³ per cell. Number 5: calculated volume 223 Å³ per cell. Number 6: calculated volume 347 Å³ per cell. Number 7: calculated volume 322 Å³ per cell. Number 8: calculated volume 202 Å³ per cell. Number 9: calculated volume 183 Å³ per cell. Number 10: calculated volume 292 Å³ per cell. Number 11: calculated volume 156 Å³ per cell. Number 12: calculated volume 239 Å³ per cell.